Entry 1:
Here is an optimized crystal structure of Y3Cd2In4 from the Alexandria database. Energies are from PBE.

a b c (Å): 11.1847 4.9211 9.2992
angles (deg): 90.00 117.45 90.00
Last column: nearest neighbours and their distance in Å.
Space group C2/m (No. 12)
Asymmetric unit:
Y1 0.0000 0.0000 0.0000 (multiplicity 2)  8 In 3.35-3.40, 4 Cd 3.38, 2 Y 3.59
Y2 0.1658 0.5000 0.6665 (multiplicity 4)  8 In 3.34-3.42, 4 Cd 3.35-3.37, 2 Y 3.57-3.59
Cd1 0.1125 0.5000 0.2807 (multiplicity 4)  3 In 2.83
In1 0.0539 0.0000 0.3851 (multiplicity 4)  2 Cd 2.83, 1 In 2.90
In2 0.2225 0.5000 0.0607 (multiplicity 4)  1 Cd 2.83, 2 In 2.89

Energy = -0.294 Ry per atom
Volume = 25.2 Å³/atom
Formation energy from the elements = -419 meV per atom

Entry 2:
Here is an optimized crystal structure of Y2CdIn2 from the Alexandria database. Energies are from PBE.

a b c (Å): 11.3791 4.7717 10.8844
angles (deg): 90.00 115.76 90.00
Last column: nearest neighbours and their distance in Å.
Space group C2/m (No. 12)
Asymmetric unit:
Y1 0.0159 0.0000 0.3311 (multiplicity 4)  7 In 3.21-3.59, 4 Cd 3.32-3.58
Y2 0.1751 0.0000 0.0922 (multiplicity 4)  6 In 3.18-3.48, 2 Cd 3.42
Cd1 0.2200 0.5000 0.3340 (multiplicity 4)  4 In 2.80-3.11
In1 0.0367 0.5000 0.8842 (multiplicity 4)  1 Cd 2.85, 1 In 2.98, 3 Y 3.18-3.19
In2 0.1397 0.5000 0.5726 (multiplicity 4)  3 Cd 2.80-3.11, 1 In 2.87

Energy = -0.315 Ry per atom
Volume = 26.6 Å³/atom
Energy above the lowest structure with this stoichiometry = 1 meV/atom
Formation energy from the elements = -423 meV per atom

Entry 3:
Here is an optimized crystal structure of Y2CdIn9 from the Alexandria database. Energies are from PBE.

a b c (Å): 4.6813 4.6813 13.9217
angles (deg): 90.00 90.00 90.00
Last column: nearest neighbours and their distance in Å.
Space group P4/mmm (No. 123)
Asymmetric unit:
Y1 0.0000 0.0000 0.1639 (multiplicity 2)  12 In 3.27-3.36
Cd1 0.0000 0.0000 0.5000 (multiplicity 1)  12 In 3.26-3.31
In1 0.0000 0.5000 0.0000 (multiplicity 2)  4 Y 3.27, 8 In 3.28-3.31
In2 0.0000 0.5000 0.3370 (multiplicity 4)  8 In 3.26-3.35, 2 Cd 3.26, 2 Y 3.36
In3 0.5000 0.5000 0.1654 (multiplicity 2)  8 In 3.28-3.35, 4 Y 3.31
In4 0.5000 0.5000 0.5000 (multiplicity 1)  8 In 3.26, 4 Cd 3.31

Energy = -0.253 Ry per atom
Volume = 25.4 Å³/atom
Formation energy from the elements = -241 meV per atom

Entry 4:
Here is an optimized crystal structure of YCdIn2 from the Alexandria database. Energies are from PBE.

a b c (Å): 4.6268 4.6268 4.5526
angles (deg): 90.00 90.00 90.00
Last column: nearest neighbours and their distance in Å.
Space group P4/mmm (No. 123)
Asymmetric unit:
Y1 0.0000 0.0000 0.0000 (multiplicity 1)  8 In 3.25, 4 Cd 3.27
Cd1 0.5000 0.5000 0.0000 (multiplicity 1)  8 In 3.25, 4 Y 3.27
In1 0.0000 0.5000 0.5000 (multiplicity 2)  4 Cd 3.25, 4 Y 3.25, 4 In 3.27

Energy = -0.266 Ry per atom
Volume = 24.4 Å³/atom
Formation energy from the elements = -402 meV per atom

Entry 5:
Here is an optimized crystal structure of Y8Cd2In from the Alexandria database. Energies are from PBE.

a b c (Å): 16.3951 5.3184 8.5472
angles (deg): 90.00 120.30 90.00
Last column: nearest neighbours and their distance in Å.
Space group C2/m (No. 12)
Asymmetric unit:
Y1 0.0662 0.0000 0.2202 (multiplicity 4)  1 Cd 3.13, 3 Y 3.26-3.29
Y2 0.0953 0.5000 0.9544 (multiplicity 4)  3 Cd 3.24-3.31, 1 In 3.38, 3 Y 3.51-3.58
Y3 0.1392 0.0000 0.6883 (multiplicity 4)  3 Cd 3.19-3.34, 2 In 3.34, 1 Y 3.55
Y4 0.1820 0.5000 0.4524 (multiplicity 4)  1 Cd 3.20, 1 In 3.21, 4 Y 3.29-3.30
Cd1 0.2237 0.0000 0.1158 (multiplicity 4)  8 Y 3.13-3.34
In1 0.0000 0.5000 0.5000 (multiplicity 2)  8 Y 3.21-3.38

Energy = -0.392 Ry per atom
Volume = 29.3 Å³/atom
Formation energy from the elements = -217 meV per atom

Entry 6:
Here is an optimized crystal structure of Y5CdIn3 from the Alexandria database. Energies are from PBE.

a b c (Å): 9.2948 9.2948 6.6995
angles (deg): 90.00 90.00 120.00
Last column: nearest neighbours and their distance in Å.
Space group P6_3/mcm (No. 193)
Asymmetric unit:
Y1 0.0000 0.2889 0.2500 (multiplicity 6)  5 In 3.15-3.44, 2 Cd 3.16
Y2 0.3333 0.6667 0.0000 (multiplicity 4)  8 Y 3.35-3.72, 6 In 3.38
Cd1 0.0000 0.0000 0.0000 (multiplicity 2)  6 Y 3.16, 2 Cd 3.35
In1 0.0000 0.3726 0.7500 (multiplicity 6)  9 Y 3.15-3.44

Energy = -0.371 Ry per atom
Volume = 27.8 Å³/atom
Formation energy from the elements = -445 meV per atom

Entry 7:
Here is an optimized crystal structure of YCdIn2 from the Alexandria database. Energies are from PBE.

a b c (Å): 3.7499 3.7636 7.2451
angles (deg): 90.00 90.00 90.00
Last column: nearest neighbours and their distance in Å.
Space group Pmmm (No. 47)
Asymmetric unit:
Y1 0.0000 0.0000 0.0000 (multiplicity 1)  8 In 3.31, 2 Cd 3.62
Cd1 0.0000 0.0000 0.5000 (multiplicity 1)  8 In 3.13
In1 0.5000 0.5000 0.2726 (multiplicity 2)  4 Cd 3.13, 1 In 3.30, 4 Y 3.31

Energy = -0.252 Ry per atom
Volume = 25.6 Å³/atom
Formation energy from the elements = -211 meV per atom

Entry 8:
Here is an optimized crystal structure of Y2Cd3In3 from the Alexandria database. Energies are from PBE.

a b c (Å): 4.5840 4.6642 9.0863
angles (deg): 90.00 90.00 90.00
Last column: nearest neighbours and their distance in Å.
Space group Pmmm (No. 47)
Asymmetric unit:
Y1 0.0000 0.0000 0.2488 (multiplicity 2)  6 In 3.22-3.25, 6 Cd 3.26-3.27
Cd1 0.0000 0.5000 0.5000 (multiplicity 1)  4 Cd 3.20, 4 Y 3.26, 4 In 3.27
Cd2 0.5000 0.5000 0.2547 (multiplicity 2)  2 Cd 3.20, 6 In 3.23-3.29, 4 Y 3.27
In1 0.0000 0.5000 0.0000 (multiplicity 1)  4 Y 3.25, 4 Cd 3.26, 4 In 3.27
In2 0.5000 0.0000 0.0000 (multiplicity 1)  4 Y 3.22, 4 In 3.27, 4 Cd 3.29
In3 0.5000 0.0000 0.5000 (multiplicity 1)  8 Cd 3.23-3.27, 4 Y 3.23

Energy = -0.247 Ry per atom
Volume = 24.3 Å³/atom
Formation energy from the elements = -375 meV per atom

Entry 9:
Here is an optimized crystal structure of Y6Cd3In from the Alexandria database. Energies are from PBE.

a b c (Å): 9.4121 5.2815 11.6442
angles (deg): 90.00 106.61 90.00
Last column: nearest neighbours and their distance in Å.
Space group P2_1/m (No. 11)
Asymmetric unit:
Y1 0.0351 0.2500 0.4071 (multiplicity 2)  6 Cd 3.16-3.46, 2 Y 3.52-3.53
Y2 0.1503 0.7500 0.1771 (multiplicity 2)  5 Cd 3.10-3.32, 1 In 3.15
Y3 0.2529 0.2500 0.0004 (multiplicity 2)  4 Cd 3.18-3.42, 3 In 3.28-3.38
Y4 0.3374 0.7500 0.8122 (multiplicity 2)  3 Cd 3.23-3.34, 3 In 3.27-3.33, 1 Y 3.59
Y5 0.3702 0.2500 0.3295 (multiplicity 2)  8 Y 3.28-3.67, 3 Cd 3.37-3.49
Y6 0.3910 0.2500 0.6155 (multiplicity 2)  1 In 3.11, 3 Cd 3.11-3.16, 3 Y 3.28-3.41
Cd1 0.0282 0.7500 0.8802 (multiplicity 2)  8 Y 3.10-3.42
Cd2 0.1190 0.2500 0.7165 (multiplicity 2)  8 Y 3.11-3.46
Cd3 0.2741 0.7500 0.4708 (multiplicity 2)  8 Y 3.16-3.49
In1 0.4519 0.7500 0.1106 (multiplicity 2)  8 Y 3.11-3.38

Energy = -0.346 Ry per atom
Volume = 27.7 Å³/atom
Formation energy from the elements = -286 meV per atom

Entry 10:
Here is an optimized crystal structure of Y5CdIn4 from the Alexandria database. Energies are from PBE.

a b c (Å): 3.7554 3.7554 18.8764
angles (deg): 90.00 90.00 90.00
Last column: nearest neighbours and their distance in Å.
Space group P4/mmm (No. 123)
Asymmetric unit:
Y1 0.0000 0.0000 0.0000 (multiplicity 1)  8 In 3.26
Y2 0.0000 0.0000 0.2010 (multiplicity 2)  8 In 3.27-3.28
Y3 0.0000 0.0000 0.4020 (multiplicity 2)  4 Cd 3.24, 4 In 3.25
Cd1 0.5000 0.5000 0.5000 (multiplicity 1)  8 Y 3.24
In1 0.5000 0.5000 0.1004 (multiplicity 2)  8 Y 3.26-3.27
In2 0.5000 0.5000 0.3027 (multiplicity 2)  8 Y 3.25-3.28

Energy = -0.360 Ry per atom
Volume = 26.6 Å³/atom
Formation energy from the elements = -474 meV per atom

Entry 11:
Here is an optimized crystal structure of YCd4In from the Alexandria database. Energies are from PBE.

a b c (Å): 6.4635 4.9894 9.4820
angles (deg): 90.00 109.11 90.00
Last column: nearest neighbours and their distance in Å.
Space group P2_1/m (No. 11)
Asymmetric unit:
Y1 0.1188 0.2500 0.2420 (multiplicity 2)  2 In 3.23, 12 Cd 3.26-3.49
Cd1 0.0466 0.2500 0.5827 (multiplicity 2)  5 Cd 2.90-3.23
Cd2 0.2038 0.2500 0.9143 (multiplicity 2)  4 Cd 2.93-3.16, 2 Y 3.28, 2 In 3.28
Cd3 0.2857 0.7500 0.0865 (multiplicity 2)  4 Cd 2.93-3.16, 2 Y 3.26
Cd4 0.4539 0.7500 0.4190 (multiplicity 2)  5 Cd 2.89-3.23
In1 0.3838 0.7500 0.7624 (multiplicity 2)  2 Y 3.23, 12 Cd 3.28-3.53

Energy = -0.173 Ry per atom
Volume = 24.1 Å³/atom
Energy above the lowest structure with this stoichiometry = 0 meV/atom
Formation energy from the elements = -213 meV per atom

Entry 12:
Here is an optimized crystal structure of YCdIn3 from the Alexandria database. Energies are from PBE.

a b c (Å): 5.9685 5.9685 5.9685
angles (deg): 90.00 90.00 90.00
Last column: nearest neighbours and their distance in Å.
Space group Pm-3m (No. 221)
Asymmetric unit:
Y1 0.0000 0.0000 0.0000 (multiplicity 1)  6 In 2.98
Cd1 0.5000 0.5000 0.5000 (multiplicity 1)  12 In 4.22
In1 0.0000 0.0000 0.5000 (multiplicity 3)  2 Y 2.98

Energy = -0.185 Ry per atom
Volume = 42.5 Å³/atom
Energy above the lowest structure with this stoichiometry = 660 meV/atom
Formation energy from the elements = 601 meV per atom